Tl2MoO6: relaxed, GGA+U.

a b c (Å): 5.521 5.550 9.080
angles (deg): 90.00 90.00 90.00
Positions (direct):
Tl 0.000 0.000 0.215
Tl 0.000 0.000 0.785
Tl 0.500 0.500 0.285
Tl 0.500 0.500 0.715
Mo 0.000 0.500 0.000
Mo 0.500 0.000 0.500
O 0.181 0.215 0.000
O 0.202 0.654 0.156
O 0.202 0.654 0.844
O 0.298 0.154 0.344
O 0.298 0.154 0.656
O 0.319 0.715 0.500
O 0.681 0.285 0.500
O 0.702 0.846 0.344
O 0.702 0.846 0.656
O 0.798 0.346 0.156
O 0.798 0.346 0.844
O 0.819 0.785 0.000

## Properties
Raw total energy   -100.26 eV per cell
SG   No. 58
Total magnetic moment   0.00 μB per atom